# CsDyTlSe3 PBE optimized geometry
data_CsDyTlSe3
_symmetry_space_group_name_H-M 'P 1 21/m 1'
_symmetry_Int_Tables_number 11
_cell_length_a 9.346
_cell_length_b 4.214
_cell_length_c 11.530
_cell_angle_alpha 90.00
_cell_angle_beta 109.54
_cell_angle_gamma 90.00
loop_
_symmetry_equiv_pos_as_xyz
'x,y,z'
'-x,-y,-z'
'-x,y+1/2,-z'
'x,-y+1/2,z'
loop_
_atom_site_label
_atom_site_type_symbol
_atom_site_fract_x
_atom_site_fract_y
_atom_site_fract_z
Cs1 Cs 0.226 0.250 0.265
Dy1 Dy 0.357 0.750 0.857
Tl1 Tl 0.131 0.250 0.580
Se1 Se 0.128 0.250 0.819
Se2 Se 0.336 0.750 0.596
Se3 Se 0.426 0.750 0.115
# Uncorrected formation energy   -1192 meV/atom
# DOS(E_F)   0.49 states/eV per atom
# Electronic total energy   -50.9 eV/cell